Material: PaCoNi
Method: DFT, PBE
State: optimized geometry Values from VASP.

Geometry as Quantum ESPRESSO input:
```
&SYSTEM
  ibrav = 0, nat = 3, ntyp = 3
/
ATOMIC_SPECIES
Pa 231.04 Pa.upf
Co 58.93 Co.upf
Ni 58.69 Ni.upf
CELL_PARAMETERS angstrom
4.101 0.000 0.000
-2.051 3.552 0.000
0.000 0.000 3.387
ATOMIC_POSITIONS angstrom
Pa 0.000 0.000 0.000
Co 2.051 1.184 1.693
Ni 0.000 2.368 1.693
```

Summary:
Polymorph energy (0 for the lowest one)   0.204 eV/atom
DFT formation energy   -0.6 eV/f.u.
Electronic total energy   -23.03 eV/cell